The following is a DFT calculation (PBE) of a relaxed structure of Al6Ge2Pt.

The structure in extended XYZ format:
```
18
Lattice="5.6480 0.0000 0.0000 0.0000 5.6480 0.0000 0.0000 0.0000 12.3082" Properties=species:S:1:pos:R:3 pbc="T T T"
Al 1.0506 1.0506 1.9530
Al 1.0506 1.0506 10.3551
Al 1.1207 1.1207 6.1541
Al 1.7034 3.9447 0.0000
Al 1.7734 3.8746 4.2010
Al 1.7734 3.8746 8.1071
Al 3.8746 1.7734 4.2010
Al 3.8746 1.7734 8.1071
Al 3.9447 1.7034 0.0000
Al 4.5274 4.5274 6.1541
Al 4.5974 4.5974 1.9530
Al 4.5974 4.5974 10.3551
Ge 0.0000 0.0000 4.0933
Ge 0.0000 0.0000 8.2148
Ge 2.8240 2.8240 2.0607
Ge 2.8240 2.8240 10.2474
Pt 0.0000 0.0000 0.0000
Pt 2.8240 2.8240 6.1541
```

E_form ... 0.03 eV per atom
Space group ... No. 136
Uncorrected energy ... -75.0 eV for the cell shown

***

The following is a DFT calculation (PBE) of a relaxed structure of Pu2Al4GePt3.

The structure in extended XYZ format:
```
10
Lattice="4.2832 0.0000 0.0000 0.0000 4.2832 0.0000 0.0000 0.0000 10.4125" Properties=species:S:1:pos:R:3 pbc="T T T"
Pu 0.0000 2.1416 2.5585
Pu 2.1416 0.0000 7.8540
Al 0.0000 0.0000 5.2062
Al 0.0000 2.1416 9.0020
Al 2.1416 0.0000 1.4104
Al 2.1416 2.1416 5.2062
Ge 2.1416 2.1416 0.0000
Pt 0.0000 0.0000 0.0000
Pt 0.0000 2.1416 6.5605
Pt 2.1416 0.0000 3.8519
```

E_form ... -0.77 eV per atom
Space group ... No. 115
Uncorrected energy ... -74.1 eV for the cell shown

***

The following is a DFT calculation (PBE) of a relaxed structure of PuAlGePt3.

The structure in extended XYZ format:
```
12
Lattice="2.8203 -8.0167 0.0000 2.8203 8.0167 0.0000 0.0000 0.0000 5.6005" Properties=species:S:1:pos:R:3 pbc="T T T"
Pu 2.8203 4.8378 4.2004
Pu 2.8203 -4.8378 1.4001
Al 2.8203 1.5336 1.4001
Al 2.8203 -1.5336 4.2004
Ge 2.8203 6.4827 1.4001
Ge 2.8203 -6.4827 4.2004
Pt 1.4147 0.0000 0.0000
Pt 1.4147 0.0000 2.8002
Pt 2.8203 3.9953 1.4001
Pt 2.8203 -3.9953 4.2004
Pt 4.2259 0.0000 0.0000
Pt 4.2259 0.0000 2.8002
```

E_form ... -0.66 eV per atom
Space group ... No. 63
Uncorrected energy ... -89.6 eV for the cell shown

***

The following is a DFT calculation (PBE) of a relaxed structure of Pu2AlGe4Pt3.

The structure in extended XYZ format:
```
10
Lattice="4.1853 0.0000 0.0000 0.0000 4.1853 0.0000 0.0000 0.0000 10.8889" Properties=species:S:1:pos:R:3 pbc="T T T"
Pu 0.0000 2.0927 2.7161
Pu 2.0927 0.0000 8.1728
Al 2.0927 2.0927 0.0000
Ge 0.0000 0.0000 5.4445
Ge 0.0000 2.0927 9.3381
Ge 2.0927 0.0000 1.5509
Ge 2.0927 2.0927 5.4445
Pt 0.0000 0.0000 0.0000
Pt 0.0000 2.0927 6.8786
Pt 2.0927 0.0000 4.0103
```

E_form ... -0.64 eV per atom
Space group ... No. 115
Uncorrected energy ... -75.4 eV for the cell shown

***

The following is a DFT calculation (PBE) of a relaxed structure of Pu2AlGe3Pt4.

The structure in extended XYZ format:
```
10
Lattice="4.2610 0.0000 0.0000 0.0000 4.2610 0.0000 0.0000 0.0000 10.4414" Properties=species:S:1:pos:R:3 pbc="T T T"
Pu 0.0000 2.1305 2.6090
Pu 2.1305 0.0000 7.8323
Al 0.0000 0.0000 5.2207
Ge 0.0000 2.1305 9.0365
Ge 2.1305 0.0000 1.4048
Ge 2.1305 2.1305 5.2207
Pt 0.0000 0.0000 0.0000
Pt 0.0000 2.1305 6.5807
Pt 2.1305 0.0000 3.8607
Pt 2.1305 2.1305 0.0000
```

E_form ... -0.77 eV per atom
Space group ... No. 115
Uncorrected energy ... -78.1 eV for the cell shown

***

The following is a DFT calculation (PBE) of a relaxed structure of Al2SiGePt.

The structure in extended XYZ format:
```
5
Lattice="4.7636 0.0000 0.0000 0.0000 4.7636 0.0000 0.0000 0.0000 4.7642" Properties=species:S:1:pos:R:3 pbc="T T T"
Al 0.0000 2.3818 0.0000
Al 2.3818 0.0000 0.0000
Si 0.0000 0.0000 2.3821
Ge 2.3818 2.3818 0.0000
Pt 2.3818 2.3818 2.3821
```

Formation energy from raw total energies ... 0.76 eV/atom
Space group ... No. 123
Uncorrected energy ... -19.8 eV for the cell shown

***

> What is the uncorrected energy in the first record?

-75.0 eV for the cell shown